This record from Alexandria via LeMat-Bulk describes a geometry-optimized Na2RuF structure. The functional is GGA-PBE.

a = 6.7327 Å, b = 6.7327 Å, c = 6.0041 Å
α = 55.90°, β = 55.90°, γ = 90.00°
With the nearest neighbours (Å) after each atom.
Atoms (fractional coordinates):
F: 0.2500 0.7500 0.5000  4 Na 2.15
F: 0.5000 0.5000 0.0000  4 Na 2.15
Na: 0.2289 0.6250 0.2500  2 F 2.15
Na: 0.8750 0.7711 0.7500  2 F 2.15
Na: 0.3750 0.4789 0.7500  2 F 2.15
Na: 0.5211 0.1250 0.2500  2 F 2.15
Ru: 0.0000 0.0000 0.0000  8 Na 3.06-3.37
Ru: 0.7500 0.2500 0.5000  8 Na 3.06-3.37

Calculated values
The value obtained for the energy above the most stable polymorph in this dataset is 0 meV/atom. As for the crystal system: tetragonal. The space-group type is I-42d.